(1)
The following is a DFT calculation (PBE-GGA) of crystalline CuAgSbBr5 at its relaxed geometry.

Cell lengths 7.094, 7.094, 11.018 Å; angles 100.29, 100.29, 100.14 degrees
Fractional positions:
Cu 0.076 0.924 0.750
Cu 0.924 0.076 0.250
Ag 0.000 0.500 0.000
Ag 0.500 0.000 0.500
Sb 0.371 0.629 0.750
Sb 0.629 0.371 0.250
Br 0.120 0.304 0.803
Br 0.146 0.777 0.554
Br 0.223 0.854 0.946
Br 0.304 0.120 0.303
Br 0.387 0.613 0.250
Br 0.613 0.387 0.750
Br 0.696 0.880 0.697
Br 0.777 0.146 0.054
Br 0.854 0.223 0.446
Br 0.880 0.696 0.197

**Crystal system**: monoclinic
**Symmetry**: No. 15

(2)
The following is a DFT calculation (PBE-GGA) of crystalline CuAgSe2Br at its relaxed geometry.

Cell lengths 4.536, 4.536, 6.831 Å; angles 90.00, 90.00, 90.00 degrees
Fractional positions:
Cu 0.000 0.000 0.000
Ag 0.500 0.500 0.500
Se 0.000 0.500 0.000
Se 0.500 0.000 0.000
Br 0.000 0.000 0.500

**Crystal system**: tetragonal
**N(E_F)**: 4.075 states/eV per cell
**Symmetry**: No. 123
**Offset from the most stable computed form**: 0 meV per atom

(3)
The following is a DFT calculation (PBE-GGA) of crystalline CuAgSe2Br at its relaxed geometry.

Cell lengths 5.084, 5.084, 5.278 Å; angles 90.00, 90.00, 90.00 degrees
Fractional positions:
Cu 0.000 0.000 0.000
Ag 0.500 0.500 0.500
Se 0.000 0.500 0.500
Se 0.500 0.000 0.500
Br 0.500 0.500 0.000

**Crystal system**: tetragonal
**N(E_F)**: 9.394 states/eV per cell
**Symmetry**: No. 123
**Offset from the most stable computed form**: 402 meV per atom

Going through the records in order, we get energy relative to the elements, uncorrected values of -0.3438; 0.3559; 0.7579 eV per atom.